# 1
Entry from Alexandria via LeMat-Bulk: Ti2GeP2 after structural relaxation (PBE).

```
data_Ti2GeP2
_cell_length_a 6.865
_cell_length_b 6.865
_cell_length_c 3.260
_cell_angle_alpha 90.00
_cell_angle_beta 90.00
_cell_angle_gamma 90.00
_space_group_name_H-M_alt 'P 4/m b m'
_space_group_IT_number 127
_space_group_name_Hall '-P 4 2ab'
loop_
_atom_site_label
_atom_site_fract_x
_atom_site_fract_y
_atom_site_fract_z
Ti1 0.153 0.347 0.000
Ge1 0.000 0.000 0.500
P1 0.136 0.636 0.500
```

formation energy	-0.576	eV/atom

---

# 2
Entry from Alexandria via LeMat-Bulk: SrBI2O after structural relaxation (PBE).

```
data_SrBI2O
_cell_length_a 6.495
_cell_length_b 6.495
_cell_length_c 4.288
_cell_angle_alpha 90.00
_cell_angle_beta 90.00
_cell_angle_gamma 90.00
_space_group_name_H-M_alt 'P 4/m m m'
_space_group_IT_number 123
_space_group_name_Hall '-P 4 2'
loop_
_atom_site_label
_atom_site_fract_x
_atom_site_fract_y
_atom_site_fract_z
Sr1 0.000 0.000 0.000
B1 0.500 0.500 0.500
I1 0.000 0.500 0.000
O1 0.000 0.000 0.500
```

total energy	-14.851	eV/cell

---

# 3
Entry from Alexandria via LeMat-Bulk: HfScAg after structural relaxation (PBE).

```
data_HfScAg
_cell_length_a 3.356
_cell_length_b 3.356
_cell_length_c 11.170
_cell_angle_alpha 90.00
_cell_angle_beta 90.00
_cell_angle_gamma 90.00
_space_group_name_H-M_alt 'P 4/n m m'
_space_group_IT_number 129
loop_
_space_group_symop_operation_xyz
'x,y,z'
'-x,-y,-z'
'-y+1/2,x,z'
'y+1/2,-x,-z'
'-x+1/2,-y+1/2,z'
'x+1/2,y+1/2,-z'
'y,-x+1/2,z'
'-y,x+1/2,-z'
'x+1/2,-y,-z'
'-x+1/2,y,z'
'-y,-x,-z'
'y,x,z'
'-x,y+1/2,-z'
'x,-y+1/2,z'
'y+1/2,x+1/2,-z'
'-y+1/2,-x+1/2,z'
loop_
_atom_site_label
_atom_site_fract_x
_atom_site_fract_y
_atom_site_fract_z
Hf1 0.250 0.250 0.091
Sc1 0.250 0.250 0.723
Ag1 0.250 0.250 0.426
```

formation energy	-0.076	eV/atom

---

# 4
Entry from Alexandria via LeMat-Bulk: Sr2MgAg after structural relaxation (PBE).

```
data_Sr2MgAg
_cell_length_a 8.312
_cell_length_b 4.808
_cell_length_c 8.215
_cell_angle_alpha 90.00
_cell_angle_beta 109.64
_cell_angle_gamma 90.00
_space_group_name_H-M_alt 'C 1 m 1'
_space_group_IT_number 8
_space_group_name_Hall 'C -2y'
loop_
_atom_site_label
_atom_site_fract_x
_atom_site_fract_y
_atom_site_fract_z
Sr1 0.000 0.000 0.000
Sr2 0.184 0.000 0.553
Mg1 0.425 0.000 0.275
Ag1 0.260 0.500 0.279
```

formation energy	-0.127	eV/atom

---

# 5
Entry from Alexandria via LeMat-Bulk: KSr2Li2Sb2 after structural relaxation (PBE).

```
data_KSr2Li2Sb2
_cell_length_a 5.0880
_cell_length_b 5.0880
_cell_length_c 31.2533
_cell_angle_alpha 90.00
_cell_angle_beta 90.00
_cell_angle_gamma 120.00
_space_group_name_H-M_alt 'R -3 m'
_space_group_IT_number 166
_space_group_name_Hall '-R 3 2"'
loop_
_atom_site_label
_atom_site_fract_x
_atom_site_fract_y
_atom_site_fract_z
K1 0.0000 0.0000 0.0000
Sr1 0.0000 0.0000 0.1306
Li1 0.0000 0.0000 0.4130
Sb1 0.0000 0.0000 0.2502
```

total energy	-63.239	eV/cell

---

# 6
Entry from Alexandria via LeMat-Bulk: TlZnCoSn2 after structural relaxation (PBE).

```
data_TlZnCoSn2
_cell_length_a 4.923
_cell_length_b 4.923
_cell_length_c 4.834
_cell_angle_alpha 90.00
_cell_angle_beta 90.00
_cell_angle_gamma 90.00
_space_group_name_H-M_alt 'P 4/m m m'
_space_group_IT_number 123
_space_group_name_Hall '-P 4 2'
loop_
_atom_site_label
_atom_site_fract_x
_atom_site_fract_y
_atom_site_fract_z
Tl1 0.000 0.000 0.000
Zn1 0.500 0.500 0.000
Co1 0.500 0.500 0.500
Sn1 0.000 0.500 0.500
```

formation energy	0.080	eV/atom

---

# 7
Entry from Alexandria via LeMat-Bulk: Bi2Pd2Pt after structural relaxation (PBE).

```
data_Bi2Pd2Pt
_cell_length_a 5.591
_cell_length_b 3.982
_cell_length_c 9.527
_cell_angle_alpha 90.00
_cell_angle_beta 91.18
_cell_angle_gamma 90.00
_space_group_name_H-M_alt 'P 1 21/m 1'
_space_group_IT_number 11
_space_group_name_Hall '-P 2yb'
loop_
_atom_site_label
_atom_site_fract_x
_atom_site_fract_y
_atom_site_fract_z
Bi1 0.048 0.250 0.153
Bi2 0.243 0.250 0.568
Pd1 0.252 0.750 0.346
Pd2 0.430 0.750 0.760
Pt1 0.358 0.750 0.053
```

formation energy	-0.210	eV/atom

---

# 8
Entry from Alexandria via LeMat-Bulk: BiMoSe2Br after structural relaxation (PBE).

```
data_BiMoSe2Br
_cell_length_a 5.008
_cell_length_b 5.008
_cell_length_c 5.131
_cell_angle_alpha 90.00
_cell_angle_beta 90.00
_cell_angle_gamma 90.00
_space_group_name_H-M_alt 'P 4/m m m'
_space_group_IT_number 123
_space_group_name_Hall '-P 4 2'
loop_
_atom_site_label
_atom_site_fract_x
_atom_site_fract_y
_atom_site_fract_z
Bi1 0.000 0.000 0.000
Mo1 0.500 0.500 0.500
Se1 0.000 0.500 0.500
Br1 0.500 0.500 0.000
```

total energy	-22.377	eV/cell

---

# 9
Entry from Alexandria via LeMat-Bulk: Y8OsAu2 after structural relaxation (PBE).

```
data_Y8OsAu2
_cell_length_a 17.460
_cell_length_b 5.151
_cell_length_c 6.876
_cell_angle_alpha 90.00
_cell_angle_beta 107.67
_cell_angle_gamma 90.00
_space_group_name_H-M_alt 'C 1 2/m 1'
_space_group_IT_number 12
_space_group_name_Hall '-C 2y'
loop_
_atom_site_label
_atom_site_fract_x
_atom_site_fract_y
_atom_site_fract_z
Y1 0.029 0.000 0.297
Y2 0.091 0.500 0.933
Y3 0.162 0.500 0.466
Y4 0.200 0.000 0.808
Os1 0.000 0.500 0.500
Au1 0.184 0.000 0.212
```

formation energy	-0.405	eV/atom

---

# 10
Entry from Alexandria via LeMat-Bulk: TmAl2Au after structural relaxation (PBE).

```
data_TmAl2Au
_cell_length_a 8.037
_cell_length_b 6.932
_cell_length_c 5.620
_cell_angle_alpha 90.00
_cell_angle_beta 90.00
_cell_angle_gamma 90.00
_space_group_name_H-M_alt 'P n m a'
_space_group_IT_number 62
_space_group_name_Hall '-P 2ac 2n'
loop_
_atom_site_label
_atom_site_fract_x
_atom_site_fract_y
_atom_site_fract_z
Tm1 0.031 0.250 0.121
Al1 0.195 0.054 0.605
Au1 0.087 0.750 0.374
```

formation energy	-0.586	eV/atom

---

# 11
Entry from Alexandria via LeMat-Bulk: Li2Ce2ErTl2 after structural relaxation (PBE).

```
data_Li2Ce2ErTl2
_cell_length_a 4.6466
_cell_length_b 4.6466
_cell_length_c 26.8487
_cell_angle_alpha 90.00
_cell_angle_beta 90.00
_cell_angle_gamma 120.00
_space_group_name_H-M_alt 'R -3 m'
_space_group_IT_number 166
_space_group_name_Hall '-R 3 2"'
loop_
_atom_site_label
_atom_site_fract_x
_atom_site_fract_y
_atom_site_fract_z
Li1 0.0000 0.0000 0.0922
Ce1 0.0000 0.0000 0.3567
Er1 0.0000 0.0000 0.5000
Tl1 0.0000 0.0000 0.2327
```

formation energy	-0.166	eV/atom

---

# 12
Entry from Alexandria via LeMat-Bulk: ScPS4 after structural relaxation (PBE).

```
data_ScPS4
_cell_length_a 13.006
_cell_length_b 3.335
_cell_length_c 6.291
_cell_angle_alpha 90.00
_cell_angle_beta 101.65
_cell_angle_gamma 90.00
_space_group_name_H-M_alt 'C 1 2/m 1'
_space_group_IT_number 12
_space_group_name_Hall '-C 2y'
loop_
_atom_site_label
_atom_site_fract_x
_atom_site_fract_y
_atom_site_fract_z
Sc1 0.000 0.000 0.000
P1 0.000 0.500 0.500
S1 0.105 0.000 0.399
S2 0.108 0.500 0.835
```

total energy	-64.214	eV/cell

---

Number 1: total moment 0.00 μB per cell, V 154 Å³ per cell. Number 2: total moment 0.00 μB per cell, V 181 Å³ per cell. Number 3: total moment 0.00 μB per cell, V 126 Å³ per cell. Number 4: total moment 0.00 μB per cell, V 309 Å³ per cell. Number 5: total moment 0.60 μB per cell, V 701 Å³ per cell. Number 6: total moment 0.00 μB per cell, V 117 Å³ per cell. Number 7: total moment 0.00 μB per cell, V 212 Å³ per cell. Number 8: total moment 2.13 μB per cell, V 129 Å³ per cell. Number 9: total moment 0.00 μB per cell, V 589 Å³ per cell. Number 10: total moment 0.00 μB per cell, V 313 Å³ per cell. Number 11: total moment 4.06 μB per cell, V 502 Å³ per cell. Number 12: total moment 0.00 μB per cell, V 267 Å³ per cell.